Density functional theory data (PBE-GGA) for an optimized crystal structure of Tb8Tm.

Cell: 5.007 7.932 7.932 Å, 84.28 71.60 71.60°
Atoms (fractional coordinates):
Tb (0.333, 0.667, 0.667)
Tb (0.666, 0.667, 0.000)
Tb (0.000, 0.667, 0.333)
Tb (0.666, 0.000, 0.667)
Tb (0.000, 0.333, 0.667)
Tb (0.334, 0.000, 0.333)
Tb (0.667, 0.333, 0.333)
Tb (0.334, 0.333, 0.000)
Tm (0.000, 0.000, 0.000)

- final energy (eV/atom) = -4.596
- magnetic moment (μB/atom) = 0.000